[1]
# LaPm2SmN4, optimized geometry, DFT PBE-GGA
# Uncorrected formation energy ... -1.408 eV/atom
data_LaPm2SmN4
_chemical_formula_sum 'La1 Pm2 Sm1 N4'
_symmetry_space_group_name_H-M 'P 1 2/m 1'
_symmetry_Int_Tables_number 10
_cell_length_a 6.309
_cell_length_b 3.642
_cell_length_c 6.310
_cell_angle_alpha 90.00
_cell_angle_beta 109.42
_cell_angle_gamma 90.00
loop_
_symmetry_equiv_pos_as_xyz
'x,y,z'
'-x,-y,-z'
'-x,y,-z'
'x,-y,z'
loop_
_atom_site_label
_atom_site_type_symbol
_atom_site_fract_x
_atom_site_fract_y
_atom_site_fract_z
La1 La 0.000 0.000 0.000
Pm1 Pm 0.500 0.000 0.500
Pm2 Pm 0.500 0.500 0.000
Sm1 Sm 0.000 0.500 0.500
N1 N 0.251 0.000 0.747
N2 N 0.254 0.500 0.255



[2]
# BaHo2Cd2In2, optimized geometry, DFT PBE-GGA
# Calculated formation energy ... -312 meV/atom
data_BaHo2Cd2In2
_chemical_formula_sum 'Ba3 Ho6 Cd6 In6'
_symmetry_space_group_name_H-M 'R -3 m'
_symmetry_Int_Tables_number 166
_symmetry_space_group_name_Hall '-R 3 2"'
_cell_length_a 5.0639
_cell_length_b 5.0639
_cell_length_c 29.0764
_cell_angle_alpha 90.00
_cell_angle_beta 90.00
_cell_angle_gamma 120.00
loop_
_atom_site_label
_atom_site_type_symbol
_atom_site_fract_x
_atom_site_fract_y
_atom_site_fract_z
Ba1 Ba 0.0000 0.0000 0.0000
Ho1 Ho 0.0000 0.0000 0.1358
Cd1 Cd 0.0000 0.0000 0.4380
In1 In 0.0000 0.0000 0.2513



[3]
# LiRe2P, optimized geometry, DFT PBE-GGA
# Calculated formation energy ... 100 meV/atom
data_LiRe2P
_chemical_formula_sum 'Li2 Re4 P2'
_symmetry_space_group_name_H-M 'C 1 m 1'
_symmetry_Int_Tables_number 8
_cell_length_a 8.438
_cell_length_b 2.952
_cell_length_c 4.329
_cell_angle_alpha 90.00
_cell_angle_beta 105.85
_cell_angle_gamma 90.00
loop_
_symmetry_equiv_pos_as_xyz
'x,y,z'
'x,-y,z'
'x+1/2,y+1/2,z'
'x+1/2,-y+1/2,z'
loop_
_atom_site_label
_atom_site_type_symbol
_atom_site_fract_x
_atom_site_fract_y
_atom_site_fract_z
Li1 Li 0.000 0.000 0.000
Re1 Re 0.243 0.000 0.792
Re2 Re 0.479 0.000 0.472
P1 P 0.238 0.500 0.246



[4]
# Li2AcZn3, optimized geometry, DFT PBE-GGA
# Distance to the lowest polymorph of the same formula ... 0.00 eV per formula unit
# Calculated formation energy ... -193 meV/atom
data_Li2AcZn3
_chemical_formula_sum 'Li8 Ac4 Zn12'
_symmetry_space_group_name_H-M 'C m c m'
_symmetry_Int_Tables_number 63
_symmetry_space_group_name_Hall '-C 2c 2'
_cell_length_a 10.425
_cell_length_b 9.134
_cell_length_c 5.193
_cell_angle_alpha 90.00
_cell_angle_beta 90.00
_cell_angle_gamma 90.00
loop_
_atom_site_label
_atom_site_type_symbol
_atom_site_fract_x
_atom_site_fract_y
_atom_site_fract_z
Li1 Li 0.217 0.000 0.000
Ac1 Ac 0.000 0.309 0.250
Zn1 Zn 0.000 0.068 0.750
Zn2 Zn 0.188 0.266 0.750



[5]
# Pm3Hg2Pb3, optimized geometry, DFT PBE-GGA
# Calculated formation energy ... -449 meV/atom
data_Pm3Hg2Pb3
_chemical_formula_sum 'Pm3 Hg2 Pb3'
_symmetry_space_group_name_H-M 'P -1'
_symmetry_Int_Tables_number 2
_cell_length_a 4.697
_cell_length_b 4.747
_cell_length_c 10.737
_cell_angle_alpha 102.31
_cell_angle_beta 102.59
_cell_angle_gamma 90.02
loop_
_symmetry_equiv_pos_as_xyz
'x,y,z'
'-x,-y,-z'
loop_
_atom_site_label
_atom_site_type_symbol
_atom_site_fract_x
_atom_site_fract_y
_atom_site_fract_z
Pm1 Pm 0.000 0.000 0.000
Pm2 Pm 0.357 0.858 0.715
Hg1 Hg 0.254 0.255 0.507
Pb1 Pb 0.124 0.624 0.248
Pb2 Pb 0.500 0.500 0.000



[6]
# Np3AgSe6, optimized geometry, DFT PBE-GGA
# Uncorrected formation energy ... -0.958 eV/atom
data_Np3AgSe6
_chemical_formula_sum 'Np12 Ag4 Se24'
_symmetry_space_group_name_H-M 'C m c 21'
_symmetry_Int_Tables_number 36
_cell_length_a 11.102
_cell_length_b 13.517
_cell_length_c 6.860
_cell_angle_alpha 90.00
_cell_angle_beta 90.00
_cell_angle_gamma 90.00
loop_
_symmetry_equiv_pos_as_xyz
'x,y,z'
'-x,-y,z+1/2'
'-x,y,z'
'x,-y,z+1/2'
'x+1/2,y+1/2,z'
'-x+1/2,-y+1/2,z+1/2'
'-x+1/2,y+1/2,z'
'x+1/2,-y+1/2,z+1/2'
loop_
_atom_site_label
_atom_site_type_symbol
_atom_site_fract_x
_atom_site_fract_y
_atom_site_fract_z
Np1 Np 0.000 0.103 0.000
Np2 Np 0.178 0.400 0.100
Ag1 Ag 0.000 0.295 0.646
Se1 Se 0.000 0.272 0.264
Se2 Se 0.000 0.475 0.820
Se3 Se 0.162 0.036 0.298
Se4 Se 0.187 0.226 0.848



[7]
# AlCuTc2, optimized geometry, DFT PBE-GGA
# Calculated formation energy ... -27 meV/atom
data_AlCuTc2
_chemical_formula_sum 'Al1 Cu1 Tc2'
_symmetry_space_group_name_H-M 'P m m m'
_symmetry_Int_Tables_number 47
_cell_length_a 3.127
_cell_length_b 4.188
_cell_length_c 4.272
_cell_angle_alpha 90.00
_cell_angle_beta 90.00
_cell_angle_gamma 90.00
loop_
_symmetry_equiv_pos_as_xyz
'x,y,z'
'-x,-y,-z'
'-x,-y,z'
'x,y,-z'
'x,-y,-z'
'-x,y,z'
'-x,y,-z'
'x,-y,z'
loop_
_atom_site_label
_atom_site_type_symbol
_atom_site_fract_x
_atom_site_fract_y
_atom_site_fract_z
Al1 Al 0.000 0.000 0.000
Cu1 Cu 0.500 0.500 0.000
Tc1 Tc 0.000 0.500 0.500
Tc2 Tc 0.500 0.000 0.500



[8]
# LaAsRu2, optimized geometry, DFT PBE-GGA
# Calculated formation energy ... -114 meV/atom
data_LaAsRu2
_chemical_formula_sum 'La1 As1 Ru2'
_symmetry_space_group_name_H-M 'P 4/m m m'
_symmetry_Int_Tables_number 123
_symmetry_space_group_name_Hall '-P 4 2'
_cell_length_a 4.394
_cell_length_b 4.394
_cell_length_c 3.701
_cell_angle_alpha 90.00
_cell_angle_beta 90.00
_cell_angle_gamma 90.00
loop_
_atom_site_label
_atom_site_type_symbol
_atom_site_fract_x
_atom_site_fract_y
_atom_site_fract_z
La1 La 0.000 0.000 0.000
As1 As 0.500 0.500 0.000
Ru1 Ru 0.000 0.500 0.500



[9]
# PmPrGdTm, optimized geometry, DFT PBE-GGA
# Distance to the lowest polymorph of the same formula ... 0.00 eV per formula unit
# Calculated formation energy ... 105 meV/atom
data_PmPrGdTm
_chemical_formula_sum 'Pm4 Pr4 Gd4 Tm4'
_symmetry_space_group_name_H-M 'F -4 3 m'
_symmetry_Int_Tables_number 216
_symmetry_space_group_name_Hall 'F -4 2 3'
_cell_length_a 8.125
_cell_length_b 8.125
_cell_length_c 8.125
_cell_angle_alpha 90.00
_cell_angle_beta 90.00
_cell_angle_gamma 90.00
loop_
_atom_site_label
_atom_site_type_symbol
_atom_site_fract_x
_atom_site_fract_y
_atom_site_fract_z
Pm1 Pm 0.000 0.000 0.000
Pr1 Pr 0.000 0.000 0.500
Gd1 Gd 0.250 0.250 0.250
Tm1 Tm 0.250 0.250 0.750



[10]
# Ba3N, optimized geometry, DFT PBE-GGA
# Uncorrected formation energy ... -0.207 eV/atom
# Distance to the lowest polymorph of the same formula ... 0.39 eV per formula unit
data_Ba3N
_chemical_formula_sum 'Ba6 N2'
_symmetry_space_group_name_H-M 'P 1 21/m 1'
_symmetry_Int_Tables_number 11
_cell_length_a 8.316
_cell_length_b 3.764
_cell_length_c 11.223
_cell_angle_alpha 90.00
_cell_angle_beta 99.60
_cell_angle_gamma 90.00
loop_
_symmetry_equiv_pos_as_xyz
'x,y,z'
'-x,-y,-z'
'-x,y+1/2,-z'
'x,-y+1/2,z'
loop_
_atom_site_label
_atom_site_type_symbol
_atom_site_fract_x
_atom_site_fract_y
_atom_site_fract_z
Ba1 Ba 0.041 0.250 0.308
Ba2 Ba 0.244 0.750 0.962
Ba3 Ba 0.384 0.750 0.681
N1 N 0.196 0.250 0.772



[11]
# TbZn6Cu4, optimized geometry, DFT PBE-GGA
# Calculated formation energy ... -157 meV/atom
data_TbZn6Cu4
_chemical_formula_sum 'Tb1 Zn6 Cu4'
_symmetry_space_group_name_H-M 'P -6 m 2'
_symmetry_Int_Tables_number 187
_symmetry_space_group_name_Hall 'P -6 2'
_cell_length_a 6.9984
_cell_length_b 6.9984
_cell_length_c 4.0162
_cell_angle_alpha 90.00
_cell_angle_beta 90.00
_cell_angle_gamma 120.00
loop_
_atom_site_label
_atom_site_type_symbol
_atom_site_fract_x
_atom_site_fract_y
_atom_site_fract_z
Tb1 Tb 0.0000 0.0000 0.0000
Zn1 Zn 0.2034 0.4069 0.5000
Zn2 Zn 0.5359 0.0719 0.0000
Cu1 Cu 0.3333 0.6667 0.0000
Cu2 Cu 0.4114 0.2057 0.5000



[12]
# NaLiDy2, optimized geometry, DFT PBE-GGA
# Calculated formation energy ... 275 meV/atom
data_NaLiDy2
_chemical_formula_sum 'Na3 Li3 Dy6'
_symmetry_space_group_name_H-M 'R -3 m'
_symmetry_Int_Tables_number 166
_symmetry_space_group_name_Hall '-R 3 2"'
_cell_length_a 3.3763
_cell_length_b 3.3763
_cell_length_c 36.6142
_cell_angle_alpha 90.00
_cell_angle_beta 90.00
_cell_angle_gamma 120.00
loop_
_atom_site_label
_atom_site_type_symbol
_atom_site_fract_x
_atom_site_fract_y
_atom_site_fract_z
Na1 Na 0.0000 0.0000 0.0000
Li1 Li 0.0000 0.0000 0.5000
Dy1 Dy 0.0000 0.0000 0.0941